A relaxed structure of Si2NiAs, computed with PBE.

## Properties
**SG**: No. 122
**ΔE_f (raw)**: 8.44 kJ/mol of atoms
**ρ**: 4.07 g/cm3
**V**: 155 Å³ per cell
**Energy**: -5.23 eV/atom

Cell: 5.3820 5.3820 6.5592 Å, 65.78 65.78 90.00°
Element x y z (fractional)
Ni1 0.5000 0.5000 0.0000
Ni2 0.2500 0.7500 0.5000
As1 0.0000 0.0000 0.0000
As2 0.7500 0.2500 0.5000
Si1 0.5881 0.1250 0.2500
Si2 0.1619 0.6250 0.2500
Si3 0.3750 0.4119 0.7500
Si4 0.8750 0.8381 0.7500


A relaxed structure of SiNiAs2, computed with PBE.

## Properties
**SG**: No. 119
**ΔE_f (raw)**: 37.76 kJ/mol of atoms
**ρ**: 6.26 g/cm3
**V**: 63 Å³ per cell
**Energy**: -4.73 eV/atom

Cell: 4.7094 4.7094 4.7094 Å, 128.15 128.15 76.38°
Element x y z (fractional)
As1 0.0000 0.0000 0.0000
As2 0.2500 0.7500 0.5000
Ni1 0.5000 0.5000 0.0000
Si1 0.7500 0.2500 0.5000


A relaxed structure of SiNiAs2, computed with PBE.

## Properties
**SG**: No. 47
**ΔE_f (raw)**: 35.99 kJ/mol of atoms
**ρ**: 6.12 g/cm3
**V**: 64 Å³ per cell
**Energy**: -4.75 eV/atom

Cell: 3.5443 4.9030 3.6946 Å, 90.00 90.00 90.00°
Element x y z (fractional)
As1 0.0000 0.0000 0.0000
As2 0.5000 0.5000 0.0000
Ni1 0.5000 0.0000 0.5000
Si1 0.0000 0.5000 0.5000


A relaxed structure of Si4NiAs, computed with PBE.

## Properties
**SG**: No. 216
**ΔE_f (raw)**: 57.56 kJ/mol of atoms
**ρ**: 4.51 g/cm3
**V**: 91 Å³ per cell
**Energy**: -4.76 eV/atom

Cell: 5.0420 5.0420 5.0420 Å, 60.00 60.00 60.00°
Element x y z (fractional)
Si1 0.8756 0.3748 0.3748
Si2 0.3748 0.3748 0.8756
Si3 0.3748 0.8756 0.3748
Si4 0.3748 0.3748 0.3748
Ni1 0.0000 0.0000 0.0000
As1 0.7500 0.7500 0.7500


A relaxed structure of SiNiAs2, computed with PBE.

## Properties
**SG**: No. 8
**ΔE_f (raw)**: -0.98 kJ/mol of atoms
**ρ**: 5.77 g/cm3
**V**: 68 Å³ per cell
**Energy**: -5.14 eV/atom

Cell: 4.0130 4.0130 5.6546 Å, 73.62 73.62 51.90°
Element x y z (fractional)
As1 0.0275 0.0275 0.0641
As2 0.7391 0.7391 0.6693
Ni1 0.5021 0.5021 0.4419
Si1 0.2313 0.2313 0.3247


A relaxed structure of SiNi6As, computed with PBE.

## Properties
**SG**: No. 69
**ΔE_f (raw)**: -14.86 kJ/mol of atoms
**ρ**: 8.30 g/cm3
**V**: 91 Å³ per cell
**Energy**: -5.75 eV/atom

Cell: 6.0580 5.6484 4.3457 Å, 73.32 63.27 43.41°
Element x y z (fractional)
Si1 0.0000 0.0000 0.0000
Ni1 0.6245 0.6245 0.8755
Ni2 0.8755 0.8755 0.6245
Ni3 0.2443 0.2443 0.7557
Ni4 0.1245 0.1245 0.3755
Ni5 0.3755 0.3755 0.1245
Ni6 0.7557 0.7557 0.2443
As1 0.5000 0.5000 0.5000


A relaxed structure of Si2NiAs, computed with PBE.

## Properties
**SG**: No. 25
**ΔE_f (raw)**: 5.36 kJ/mol of atoms
**ρ**: 5.35 g/cm3
**V**: 59 Å³ per cell
**Energy**: -5.26 eV/atom

Cell: 3.4024 2.6918 6.4272 Å, 90.00 90.00 90.00°
Element x y z (fractional)
As1 0.0000 0.5002 0.5235
Ni1 0.5000 0.5004 0.8080
Si1 0.0000 0.0004 0.9677
Si2 0.5000 0.4990 0.2007


A relaxed structure of SiNiAs2, computed with PBE.

## Properties
**SG**: No. 12
**ΔE_f (raw)**: 5.80 kJ/mol of atoms
**ρ**: 6.08 g/cm3
**V**: 65 Å³ per cell
**Energy**: -5.07 eV/atom

Cell: 3.5652 3.5652 6.2369 Å, 73.28 73.28 59.86°
Element x y z (fractional)
As1 0.0059 0.0059 0.9807
As2 0.4941 0.4941 0.5193
Ni1 0.7500 0.7500 0.7500
Si1 0.2500 0.2500 0.2500


Result set for density of states at the Fermi level: 2.1, 2.7, 1.7, 3.6, 1.1, 10.3, 1.2, 2.4 states/eV/f.u., one per record in the order listed.